# KSbTeO6 | Alexandria via LeMat-Bulk | PBE-GGA | optimized geometry
# DFT total energy	-5.621	eV per atom
# formation energy without anion corrections	-1204	kJ/mol of formula units
data_KSbTeO6
_symmetry_space_group_name_H-M 'P -3 1 c'
_symmetry_Int_Tables_number 163
_symmetry_space_group_name_Hall '-P 3 2c'
_cell_length_a 5.3175
_cell_length_b 5.3175
_cell_length_c 12.1482
_cell_angle_alpha 90.00
_cell_angle_beta 90.00
_cell_angle_gamma 120.00
loop_
_atom_site_label
_atom_site_type_symbol
_atom_site_fract_x
_atom_site_fract_y
_atom_site_fract_z
_atom_site_occupancy
K1 K 0.0000 0.0000 0.0000 1
Sb1 Sb 0.3333 0.6667 0.2500 1
Te1 Te 0.3333 0.6667 0.7500 1
O1 O 0.0082 0.3882 0.6577 1

# KSbTe2O8 | Alexandria via LeMat-Bulk | PBE-GGA | optimized geometry
# DFT total energy	-5.312	eV per atom
# formation energy without anion corrections	-1214	kJ/mol of formula units
data_KSbTe2O8
_symmetry_space_group_name_H-M 'C 1 2/m 1'
_symmetry_Int_Tables_number 12
_cell_length_a 8.2855
_cell_length_b 6.4938
_cell_length_c 7.3269
_cell_angle_alpha 90.00
_cell_angle_beta 105.40
_cell_angle_gamma 90.00
loop_
_symmetry_equiv_pos_as_xyz
'x,y,z'
'-x,-y,-z'
'-x,y,-z'
'x,-y,z'
'x+1/2,y+1/2,z'
'-x+1/2,-y+1/2,-z'
'-x+1/2,y+1/2,-z'
'x+1/2,-y+1/2,z'
loop_
_atom_site_label
_atom_site_type_symbol
_atom_site_fract_x
_atom_site_fract_y
_atom_site_fract_z
_atom_site_occupancy
K1 K 0.0000 0.0000 0.0000 1
Sb1 Sb 0.0000 0.0000 0.5000 1
Te1 Te 0.0507 0.5000 0.2357 1
O1 O 0.0167 0.2192 0.7060 1
O2 O 0.1556 0.5000 0.0251 1
O3 O 0.2505 0.0000 0.5511 1

# KTh2SbO8 | Alexandria via LeMat-Bulk | PBE-GGA | optimized geometry
# DFT total energy	-7.370	eV per atom
# formation energy without anion corrections	-2770	kJ/mol of formula units
data_KTh2SbO8
_symmetry_space_group_name_H-M 'P -1'
_symmetry_Int_Tables_number 2
_cell_length_a 4.5762
_cell_length_b 5.0213
_cell_length_c 8.2854
_cell_angle_alpha 92.47
_cell_angle_beta 92.53
_cell_angle_gamma 93.03
loop_
_symmetry_equiv_pos_as_xyz
'x,y,z'
'-x,-y,-z'
loop_
_atom_site_label
_atom_site_type_symbol
_atom_site_fract_x
_atom_site_fract_y
_atom_site_fract_z
_atom_site_occupancy
K1 K 0.0000 0.0000 0.0000 1
Th1 Th 0.4343 0.4727 0.7159 1
Sb1 Sb 0.0000 0.0000 0.5000 1
O1 O 0.1097 0.7209 0.3245 1
O2 O 0.1974 0.8508 0.6968 1
O3 O 0.3393 0.2589 0.4722 1
O4 O 0.4506 0.3547 0.0023 1

# K2ThSbO6 | Alexandria via LeMat-Bulk | PBE-GGA | optimized geometry
# DFT total energy	-6.498	eV per atom
# formation energy without anion corrections	-2073	kJ/mol of formula units
data_K2ThSbO6
_symmetry_space_group_name_H-M 'F m -3 m'
_symmetry_Int_Tables_number 225
_symmetry_space_group_name_Hall '-F 4 2 3'
_cell_length_a 8.6181
_cell_length_b 8.6181
_cell_length_c 8.6181
_cell_angle_alpha 90.00
_cell_angle_beta 90.00
_cell_angle_gamma 90.00
loop_
_atom_site_label
_atom_site_type_symbol
_atom_site_fract_x
_atom_site_fract_y
_atom_site_fract_z
_atom_site_occupancy
K1 K 0.2500 0.2500 0.2500 1
Th1 Th 0.0000 0.0000 0.0000 1
Sb1 Sb 0.0000 0.0000 0.5000 1
O1 O 0.0000 0.0000 0.2664 1

# K2ThSb2O6 | Alexandria via LeMat-Bulk | PBE-GGA | optimized geometry
# DFT total energy	-6.470	eV per atom
# formation energy without anion corrections	-2274	kJ/mol of formula units
data_K2ThSb2O6
_symmetry_space_group_name_H-M 'C 1 2/m 1'
_symmetry_Int_Tables_number 12
_cell_length_a 10.8170
_cell_length_b 6.2481
_cell_length_c 7.4046
_cell_angle_alpha 90.00
_cell_angle_beta 93.05
_cell_angle_gamma 90.00
loop_
_symmetry_equiv_pos_as_xyz
'x,y,z'
'-x,-y,-z'
'-x,y,-z'
'x,-y,z'
'x+1/2,y+1/2,z'
'-x+1/2,-y+1/2,-z'
'-x+1/2,y+1/2,-z'
'x+1/2,-y+1/2,z'
loop_
_atom_site_label
_atom_site_type_symbol
_atom_site_fract_x
_atom_site_fract_y
_atom_site_fract_z
_atom_site_occupancy
K1 K 0.1720 0.0000 0.1579 1
Th1 Th 0.0000 0.5000 0.0000 1
Sb1 Sb 0.1552 0.0000 0.6908 1
O1 O 0.0817 0.2332 0.8271 1
O2 O 0.1849 0.5000 0.1700 1

# K4ThSb3O12 | Alexandria via LeMat-Bulk | PBE-GGA | optimized geometry
# DFT total energy	-5.997	eV per atom
# formation energy without anion corrections	-3498	kJ/mol of formula units
data_K4ThSb3O12
_symmetry_space_group_name_H-M 'I m -3 m'
_symmetry_Int_Tables_number 229
_symmetry_space_group_name_Hall '-I 4 2 3'
_cell_length_a 8.3588
_cell_length_b 8.3588
_cell_length_c 8.3588
_cell_angle_alpha 90.00
_cell_angle_beta 90.00
_cell_angle_gamma 90.00
loop_
_atom_site_label
_atom_site_type_symbol
_atom_site_fract_x
_atom_site_fract_y
_atom_site_fract_z
_atom_site_occupancy
K1 K 0.2500 0.2500 0.2500 1
Th1 Th 0.0000 0.0000 0.0000 1
Sb1 Sb 0.0000 0.0000 0.5000 1
O1 O 0.0000 0.0000 0.2687 1
O2 O 0.0000 0.2500 0.5000 1

# KTi2SbO8 | Alexandria via LeMat-Bulk | PBE-GGA | optimized geometry
# DFT total energy	-7.152	eV per atom
# formation energy without anion corrections	-2427	kJ/mol of formula units
data_KTi2SbO8
_symmetry_space_group_name_H-M 'C 1 2/m 1'
_symmetry_Int_Tables_number 12
_cell_length_a 9.1182
_cell_length_b 5.9308
_cell_length_c 7.7706
_cell_angle_alpha 90.00
_cell_angle_beta 112.52
_cell_angle_gamma 90.00
loop_
_symmetry_equiv_pos_as_xyz
'x,y,z'
'-x,-y,-z'
'-x,y,-z'
'x,-y,z'
'x+1/2,y+1/2,z'
'-x+1/2,-y+1/2,-z'
'-x+1/2,y+1/2,-z'
'x+1/2,-y+1/2,z'
loop_
_atom_site_label
_atom_site_type_symbol
_atom_site_fract_x
_atom_site_fract_y
_atom_site_fract_z
_atom_site_occupancy
K1 K 0.0000 0.0000 0.0000 1
Ti1 Ti 0.0646 0.5000 0.2739 1
Sb1 Sb 0.0000 0.0000 0.5000 1
O1 O 0.0248 0.2357 0.6930 1
O2 O 0.0901 0.5000 0.0362 1
O3 O 0.2345 0.0000 0.5709 1

# KTiSb2O8 | Alexandria via LeMat-Bulk | PBE-GGA | optimized geometry
# DFT total energy	-6.287	eV per atom
# formation energy without anion corrections	-1789	kJ/mol of formula units
data_KTiSb2O8
_symmetry_space_group_name_H-M 'C m m m'
_symmetry_Int_Tables_number 65
_symmetry_space_group_name_Hall '-C 2 2'
_cell_length_a 6.6575
_cell_length_b 7.1742
_cell_length_c 6.5948
_cell_angle_alpha 90.00
_cell_angle_beta 90.00
_cell_angle_gamma 90.00
loop_
_atom_site_label
_atom_site_type_symbol
_atom_site_fract_x
_atom_site_fract_y
_atom_site_fract_z
_atom_site_occupancy
K1 K 0.0000 0.0000 0.0000 1
Ti1 Ti 0.0000 0.0000 0.5000 1
Sb1 Sb 0.0000 0.5000 0.2600 1
O1 O 0.0000 0.3033 0.5000 1
O2 O 0.0000 0.3378 0.0000 1
O3 O 0.2089 0.0000 0.2979 1